Entry i
Below is crystalline SrHg4Pd2 at its relaxed geometry, with properties calculated at the GGA-PBE level.

a b c (Å): 18.670 4.751 7.392
angles (deg): 90.00 90.00 90.00
Atoms (fractional coordinates):
Sr: 0.142 0.250 0.037
Sr: 0.358 0.750 0.537
Sr: 0.642 0.250 0.463
Sr: 0.858 0.750 0.963
Hg: 0.036 0.750 0.851
Hg: 0.067 0.250 0.484
Hg: 0.184 0.750 0.337
Hg: 0.190 0.750 0.743
Hg: 0.310 0.250 0.243
Hg: 0.316 0.250 0.837
Hg: 0.433 0.750 0.984
Hg: 0.464 0.250 0.351
Hg: 0.536 0.750 0.649
Hg: 0.567 0.250 0.016
Hg: 0.684 0.750 0.163
Hg: 0.690 0.750 0.757
Hg: 0.810 0.250 0.257
Hg: 0.816 0.250 0.663
Hg: 0.933 0.750 0.516
Hg: 0.964 0.250 0.149
Pd: 0.038 0.750 0.245
Pd: 0.217 0.250 0.545
Pd: 0.283 0.750 0.045
Pd: 0.462 0.250 0.745
Pd: 0.538 0.750 0.255
Pd: 0.717 0.250 0.955
Pd: 0.783 0.750 0.455
Pd: 0.962 0.250 0.755

Calculated values
The value obtained for the density is 11.17 g/cm3. Its density of states at the Fermi level is 11.84 states/eV per cell.

=====

Entry ii
Below is crystalline SrHg4Pd2 at its relaxed geometry, with properties calculated at the GGA-PBE level.

a b c (Å): 8.852 8.852 4.425
angles (deg): 90.00 90.00 150.30
Atoms (fractional coordinates):
Sr: 0.000 0.000 0.000
Hg: 0.173 0.827 0.500
Hg: 0.323 0.677 0.000
Hg: 0.677 0.323 0.000
Hg: 0.827 0.173 0.500
Pd: 0.423 0.577 0.500
Pd: 0.577 0.423 0.500

Calculated values
The value obtained for the density is 10.66 g/cm3. Its density of states at the Fermi level is 2.30 states/eV per cell.

=====

Most stable one: entry i, least stable one: entry ii.

=====

Entry i
Below is crystalline Sr3Hg4Pd4 at its relaxed geometry, with properties calculated at the GGA-PBE level.

a b c (Å): 4.151 4.627 14.938
angles (deg): 98.59 97.96 90.03
Atoms (fractional coordinates):
Sr: 0.000 0.000 0.000
Sr: 0.147 0.647 0.293
Sr: 0.853 0.353 0.707
Hg: 0.254 0.255 0.509
Hg: 0.404 0.905 0.810
Hg: 0.596 0.095 0.190
Hg: 0.746 0.745 0.491
Pd: 0.312 0.811 0.624
Pd: 0.452 0.452 0.909
Pd: 0.548 0.548 0.091
Pd: 0.688 0.189 0.376

Calculated values
The value obtained for the density is 8.81 g/cm3. Its density of states at the Fermi level is 3.38 states/eV per cell.

=====

Entry ii
Below is crystalline Sr3Hg4Pd4 at its relaxed geometry, with properties calculated at the GGA-PBE level.

a b c (Å): 8.914 8.914 8.914
angles (deg): 151.14 126.93 61.53
Atoms (fractional coordinates):
Sr: 0.000 0.000 0.000
Sr: 0.374 0.874 0.500
Sr: 0.626 0.126 0.500
Hg: 0.029 0.332 0.697
Hg: 0.364 0.668 0.697
Hg: 0.636 0.332 0.303
Hg: 0.971 0.668 0.303
Pd: 0.220 0.220 0.000
Pd: 0.325 0.500 0.825
Pd: 0.675 0.500 0.175
Pd: 0.780 0.780 0.000

Calculated values
The value obtained for the density is 9.14 g/cm3. Its density of states at the Fermi level is 3.61 states/eV per cell.

=====

Most stable one: entry ii, least stable one: entry i.

=====

Entry i
Below is crystalline SrY2HgPd at its relaxed geometry, with properties calculated at the GGA-PBE level.

a b c (Å): 5.804 5.804 4.986
angles (deg): 90.00 90.00 90.00
Atoms (fractional coordinates):
Sr: 0.000 0.000 0.000
Y: 0.000 0.500 0.000
Y: 0.500 0.000 0.000
Hg: 0.500 0.500 0.500
Pd: 0.000 0.000 0.500

Calculated values
The value obtained for the density is 5.66 g/cm3. Its density of states at the Fermi level is 4.26 states/eV per cell.

=====

Entry ii
Below is crystalline SrY2HgPd at its relaxed geometry, with properties calculated at the GGA-PBE level.

a b c (Å): 5.422 5.422 5.418
angles (deg): 90.00 90.00 90.00
Atoms (fractional coordinates):
Sr: 0.000 0.000 0.000
Y: 0.000 0.500 0.500
Y: 0.500 0.000 0.500
Hg: 0.500 0.500 0.000
Pd: 0.500 0.500 0.500

Calculated values
The value obtained for the density is 5.97 g/cm3. Its density of states at the Fermi level is 3.89 states/eV per cell.

=====

Most stable one: entry ii, least stable one: entry i.

=====

Entry i
Below is crystalline Tb4HgPd2 at its relaxed geometry, with properties calculated at the GGA-PBE level.

a b c (Å): 8.771 8.771 8.771
angles (deg): 33.19 33.19 33.19
Atoms (fractional coordinates):
Tb: 0.119 0.119 0.119
Tb: 0.371 0.371 0.371
Tb: 0.629 0.629 0.629
Tb: 0.881 0.881 0.881
Hg: 0.500 0.500 0.500
Pd: 0.253 0.253 0.253
Pd: 0.747 0.747 0.747

Calculated values
The value obtained for the density is 9.68 g/cm3. Its density of states at the Fermi level is 5.37 states/eV per cell.

=====

Entry ii
Below is crystalline Tb4HgPd2 at its relaxed geometry, with properties calculated at the GGA-PBE level.

a b c (Å): 10.284 10.284 10.284
angles (deg): 26.44 26.44 26.44
Atoms (fractional coordinates):
Tb: 0.115 0.115 0.115
Tb: 0.298 0.298 0.298
Tb: 0.702 0.702 0.702
Tb: 0.885 0.885 0.885
Hg: 0.500 0.500 0.500
Pd: 0.400 0.400 0.400
Pd: 0.600 0.600 0.600

Calculated values
The value obtained for the density is 9.17 g/cm3. Its density of states at the Fermi level is 6.96 states/eV per cell.

=====

Most stable one: entry i, least stable one: entry ii.

=====

Entry i
Below is crystalline Tb2Hg3Pd4 at its relaxed geometry, with properties calculated at the GGA-PBE level.

a b c (Å): 4.445 5.041 9.030
angles (deg): 100.36 90.01 116.12
Atoms (fractional coordinates):
Tb: 0.171 0.342 0.219
Tb: 0.829 0.658 0.781
Hg: 0.160 0.321 0.570
Hg: 0.500 0.000 0.000
Hg: 0.840 0.679 0.430
Pd: 0.165 0.330 0.895
Pd: 0.491 0.984 0.667
Pd: 0.509 0.016 0.333
Pd: 0.835 0.670 0.105

Calculated values
The value obtained for the density is 12.55 g/cm3. Its density of states at the Fermi level is 3.16 states/eV per cell.

=====

Entry ii
Below is crystalline Tb2Hg3Pd4 at its relaxed geometry, with properties calculated at the GGA-PBE level.

a b c (Å): 4.758 4.758 8.985
angles (deg): 95.72 95.72 63.16
Atoms (fractional coordinates):
Tb: 0.159 0.159 0.279
Tb: 0.841 0.841 0.721
Hg: 0.187 0.187 0.920
Hg: 0.500 0.500 0.500
Hg: 0.813 0.813 0.080
Pd: 0.169 0.169 0.600
Pd: 0.485 0.485 0.164
Pd: 0.515 0.515 0.836
Pd: 0.831 0.831 0.400

Calculated values
The value obtained for the density is 12.40 g/cm3. Its density of states at the Fermi level is 3.63 states/eV per cell.

=====

Most stable one: entry i, least stable one: entry ii.

=====

Entry i
Below is crystalline Tb2HgPd4 at its relaxed geometry, with properties calculated at the GGA-PBE level.

a b c (Å): 7.893 7.893 7.893
angles (deg): 143.04 143.04 53.26
Atoms (fractional coordinates):
Tb: 0.126 0.126 0.000
Tb: 0.874 0.874 0.000
Hg: 0.500 0.500 0.000
Pd: 0.000 0.500 0.500
Pd: 0.308 0.308 0.000
Pd: 0.500 0.000 0.500
Pd: 0.692 0.692 0.000

Calculated values
The value obtained for the density is 8.88 g/cm3. Its density of states at the Fermi level is 4.03 states/eV per cell.

=====

Entry ii
Below is crystalline Tb2HgPd4 at its relaxed geometry, with properties calculated at the GGA-PBE level.

a b c (Å): 9.613 9.613 9.613
angles (deg): 155.45 155.45 35.00
Atoms (fractional coordinates):
Tb: 0.130 0.130 0.000
Tb: 0.870 0.870 0.000
Hg: 0.500 0.500 0.000
Pd: 0.250 0.750 0.500
Pd: 0.354 0.354 0.000
Pd: 0.646 0.646 0.000
Pd: 0.750 0.250 0.500

Calculated values
The value obtained for the density is 10.23 g/cm3. Its density of states at the Fermi level is 4.26 states/eV per cell.

=====

Most stable one: entry ii, least stable one: entry i.

=====

Entry i
Below is crystalline Tb6HgPd at its relaxed geometry, with properties calculated at the GGA-PBE level.

a b c (Å): 9.334 9.334 9.334
angles (deg): 148.17 148.17 45.64
Atoms (fractional coordinates):
Tb: 0.105 0.605 0.500
Tb: 0.249 0.249 0.000
Tb: 0.395 0.895 0.500
Tb: 0.605 0.105 0.500
Tb: 0.751 0.751 0.000
Tb: 0.895 0.395 0.500
Hg: 0.000 0.000 0.000
Pd: 0.500 0.500 0.000

Calculated values
The value obtained for the density is 9.28 g/cm3. Its density of states at the Fermi level is 11.20 states/eV per cell.

=====

Entry ii
Below is crystalline Tb6HgPd at its relaxed geometry, with properties calculated at the GGA-PBE level.

a b c (Å): 7.018 7.030 7.301
angles (deg): 90.38 118.33 119.68
Atoms (fractional coordinates):
Tb: 0.026 0.072 0.252
Tb: 0.296 0.725 0.251
Tb: 0.315 0.542 0.748
Tb: 0.685 0.458 0.252
Tb: 0.704 0.275 0.749
Tb: 0.974 0.928 0.748
Hg: 0.500 0.000 0.000
Pd: 0.500 0.500 0.500

Calculated values
The value obtained for the density is 8.01 g/cm3. Its density of states at the Fermi level is 13.01 states/eV per cell.

=====

Most stable one: entry i, least stable one: entry ii.

=====

Entry i
Below is crystalline TbHg2Pd3 at its relaxed geometry, with properties calculated at the GGA-PBE level.

a b c (Å): 7.799 7.799 6.304
angles (deg): 90.00 90.00 143.05
Atoms (fractional coordinates):
Tb: 0.158 0.842 0.000
Tb: 0.842 0.158 0.000
Hg: 0.170 0.830 0.500
Hg: 0.500 0.500 0.000
Hg: 0.500 0.500 0.500
Hg: 0.830 0.170 0.500
Pd: 0.000 0.000 0.270
Pd: 0.000 0.000 0.730
Pd: 0.331 0.669 0.248
Pd: 0.331 0.669 0.752
Pd: 0.669 0.331 0.248
Pd: 0.669 0.331 0.752

Calculated values
The value obtained for the density is 12.67 g/cm3. Its density of states at the Fermi level is 5.92 states/eV per cell.

=====

Entry ii
Below is crystalline TbHg2Pd3 at its relaxed geometry, with properties calculated at the GGA-PBE level.

a b c (Å): 4.446 8.633 6.227
angles (deg): 90.00 90.00 90.00
Atoms (fractional coordinates):
Tb: 0.000 0.128 0.000
Tb: 0.000 0.872 0.500
Hg: 0.000 0.246 0.520
Hg: 0.000 0.754 0.020
Hg: 0.500 0.420 0.862
Hg: 0.500 0.580 0.362
Pd: 0.000 0.445 0.147
Pd: 0.000 0.555 0.647
Pd: 0.500 0.072 0.670
Pd: 0.500 0.245 0.253
Pd: 0.500 0.755 0.753
Pd: 0.500 0.928 0.170

Calculated values
The value obtained for the density is 12.22 g/cm3. Its density of states at the Fermi level is 3.83 states/eV per cell.

=====

Most stable one: entry i, least stable one: entry ii.